<P>
DFT (PBEsol) results for a relaxed Cd2MoOs crystal.

Cell lengths 4.7519, 4.7519, 2.9340 Å; angles 90.00, 90.00, 90.00 degrees
Closest atoms and distances in Å follow each position.
Space group P4/mmm (No. 123)
Symmetry-distinct sites (fractional):
Cd (0.0000, 0.5000, 0.0000) x2  4 Os 2.79, 4 Mo 2.79, 2 Cd 2.93
Mo (0.0000, 0.0000, 0.5000) x1  8 Cd 2.79, 2 Mo 2.93
Os (0.5000, 0.5000, 0.5000) x1  8 Cd 2.79, 2 Os 2.93

Results
Crystal system: tetragonal
N(E_F) (states/eV/atom): 1.229


<Q>
DFT (PBEsol) results for a relaxed Cd2MoOs crystal.

Cell lengths 3.1110, 4.4730, 9.5834 Å; angles 90.00, 90.00, 90.00 degrees
Closest atoms and distances in Å follow each position.
Space group Immm (No. 71)
Symmetry-distinct sites (fractional):
Cd (0.0000, 0.0000, 0.2445) x4  4 Cd 2.73, 2 Os 2.81, 2 Mo 2.90
Mo (0.0000, 0.5000, 0.0000) x2  4 Os 2.72, 4 Cd 2.90
Os (0.0000, 0.5000, 0.5000) x2  4 Mo 2.72, 4 Cd 2.81

Results
Crystal system: orthorhombic
N(E_F) (states/eV/atom): 0.658


Stability, lowest: <P>


<P>
DFT (PBEsol) results for a relaxed TaZn2Re crystal.

Cell lengths 2.6614, 4.1537, 5.3359 Å; angles 90.00, 90.00, 90.00 degrees
Closest atoms and distances in Å follow each position.
Space group Pmmm (No. 47)
Symmetry-distinct sites (fractional):
Ta (0.0000, 0.0000, 0.0000) x1  2 Ta 2.66, 2 Re 2.67, 8 Zn 2.83
Zn (0.5000, 0.5000, 0.2592) x2  4 Zn 2.57-2.77, 4 Re 2.78, 4 Ta 2.83
Re (0.0000, 0.0000, 0.5000) x1  2 Re 2.66, 2 Ta 2.67, 8 Zn 2.78

Results
Crystal system: orthorhombic
N(E_F) (states/eV/atom): 0.435


<Q>
DFT (PBEsol) results for a relaxed TaZn2Re crystal.

Cell lengths 2.6488, 4.1399, 5.5093 Å; angles 90.00, 90.00, 90.00 degrees
Closest atoms and distances in Å follow each position.
Space group Pmm2 (No. 25)
Symmetry-distinct sites (fractional):
Ta (0.0000, 0.0000, 0.0000) x1  2 Ta 2.65, 6 Zn 2.75-2.89, 4 Re 2.78
Zn (0.0000, 0.0000, 0.5017) x1  6 Zn 2.65-2.76, 2 Ta 2.75-2.76, 4 Re 2.86
Zn (0.5000, 0.5000, 0.2750) x1  6 Zn 2.65-2.76, 2 Re 2.70-2.81, 4 Ta 2.89
Re (0.5000, 0.5000, 0.7656) x1  2 Re 2.65, 6 Zn 2.70-2.86, 4 Ta 2.78

Results
Crystal system: orthorhombic
N(E_F) (states/eV/atom): 0.502


Stability, lowest: <Q>


<P>
DFT (PBEsol) results for a relaxed Zn2CdAs crystal.

Cell lengths 2.7726, 3.7337, 6.8132 Å; angles 90.00, 90.00, 90.00 degrees
Closest atoms and distances in Å follow each position.
Space group Pmm2 (No. 25)
Symmetry-distinct sites (fractional):
Zn (0.0000, 0.0000, 0.0000) x1  6 Zn 2.71-2.77, 4 Cd 2.90, 1 As 2.91
Zn (0.5000, 0.5000, 0.2042) x1  6 Zn 2.71-2.77, 4 As 2.78
Cd (0.5000, 0.5000, 0.7456) x1  2 Cd 2.77, 4 Zn 2.90
As (0.0000, 0.0000, 0.4273) x1  2 As 2.77, 5 Zn 2.78-2.91

Results
Crystal system: orthorhombic
N(E_F) (states/eV/atom): 0.373


<Q>
DFT (PBEsol) results for a relaxed Zn2CdAs crystal.

Cell lengths 2.9304, 2.9304, 8.0654 Å; angles 90.00, 90.00, 90.00 degrees
Closest atoms and distances in Å follow each position.
Space group P4mm (No. 99)
Symmetry-distinct sites (fractional):
Zn (0.0000, 0.0000, 0.0000) x1  8 Zn 2.67-2.93, 4 As 2.85
Zn (0.5000, 0.5000, 0.2086) x1  8 Zn 2.67-2.93, 4 Cd 2.92
Cd (0.0000, 0.0000, 0.4632) x1  4 Zn 2.92, 4 Cd 2.93, 4 As 3.15
As (0.5000, 0.5000, 0.7571) x1  4 Zn 2.85, 4 As 2.93, 4 Cd 3.15

Results
Crystal system: tetragonal
N(E_F) (states/eV/atom): 0.384


Stability, lowest: <Q>


<P>
DFT (PBEsol) results for a relaxed CrP2W crystal.

Cell lengths 3.1225, 6.0904, 5.4694 Å; angles 90.00, 90.00, 90.00 degrees
Closest atoms and distances in Å follow each position.
Space group Pmc2_1 (No. 26)
Symmetry-distinct sites (fractional):
Cr (0.0000, 0.0647, 0.0000) x2  6 P 2.30-2.37
P (0.0000, 0.2939, 0.6663) x2  2 Cr 2.30-2.37, 4 W 2.45-2.50
P (0.5000, 0.1671, 0.3047) x2  4 Cr 2.36-2.37, 2 W 2.44-2.56, 2 P 2.64
W (0.5000, 0.4434, 0.9823) x2  6 P 2.44-2.56

Results
Crystal system: orthorhombic
N(E_F) (states/eV/atom): 0.506


<Q>
DFT (PBEsol) results for a relaxed CrP2W crystal.

Cell lengths 3.0486, 3.0486, 5.3818 Å; angles 90.00, 90.00, 90.00 degrees
Closest atoms and distances in Å follow each position.
Space group P4mm (No. 99)
Symmetry-distinct sites (fractional):
Cr (0.0000, 0.0000, 0.0000) x1  5 P 2.33-2.39
P (0.0000, 0.0000, 0.4444) x1  1 Cr 2.39, 4 W 2.43, 4 P 2.63
P (0.5000, 0.5000, 0.1650) x1  4 Cr 2.33
W (0.5000, 0.5000, 0.6533) x1  5 P 2.43-2.63

Results
Crystal system: tetragonal
N(E_F) (states/eV/atom): 0.453


Stability, lowest: <Q>


<P>
DFT (PBEsol) results for a relaxed ZrScP2 crystal.

Cell lengths 5.8372, 5.8372, 11.5838 Å; angles 90.00, 90.00, 90.00 degrees
Closest atoms and distances in Å follow each position.
Space group I-42d (No. 122)
Symmetry-distinct sites (fractional):
Zr (0.0000, 0.0000, 0.0000) x4  4 P 2.51
Sc (0.0000, 0.0000, 0.5000) x4  4 P 2.53
P (0.2468, 0.2500, 0.1250) x8  2 Zr 2.51, 2 Sc 2.53

Results
Crystal system: tetragonal
N(E_F) (states/eV/atom): 0.633


<Q>
DFT (PBEsol) results for a relaxed ZrScP2 crystal.

Cell lengths 3.7045, 3.7045, 5.2242 Å; angles 90.00, 90.00, 90.00 degrees
Closest atoms and distances in Å follow each position.
Space group P4/mmm (No. 123)
Symmetry-distinct sites (fractional):
Zr (0.0000, 0.0000, 0.0000) x1  6 P 2.61-2.62
Sc (0.5000, 0.5000, 0.5000) x1  6 P 2.61-2.62
P (0.0000, 0.0000, 0.5000) x1  2 Zr 2.61, 4 Sc 2.62
P (0.5000, 0.5000, 0.0000) x1  2 Sc 2.61, 4 Zr 2.62

Results
Crystal system: tetragonal
N(E_F) (states/eV/atom): 0.308


Stability, lowest: <P>


<P>
DFT (PBEsol) results for a relaxed MoWO6 crystal.

Cell lengths 9.1304, 5.3692, 5.2720 Å; angles 90.00, 125.26, 90.00 degrees
Closest atoms and distances in Å follow each position.
Space group C2/m (No. 12)
Symmetry-distinct sites (fractional):
Mo (0.0000, 0.0000, 0.0000) x2  6 O 1.89
W (0.0000, 0.5000, 0.5000) x2  6 O 1.91
O (0.0346, 0.2492, 0.2837) x8  1 Mo 1.89, 1 W 1.91
O (0.2490, 0.0000, 0.1805) x4  1 Mo 1.89, 1 W 1.91

Results
Crystal system: monoclinic
N(E_F) (states/eV/atom): 0.000


<Q>
DFT (PBEsol) results for a relaxed MoWO6 crystal.

Cell lengths 9.3419, 5.3986, 5.4203 Å; angles 90.00, 125.15, 90.00 degrees
Closest atoms and distances in Å follow each position.
Space group Cm (No. 8)
Symmetry-distinct sites (fractional):
Mo (0.0000, 0.0000, 0.0000) x2  3 O 1.77-1.78
W (0.9998, 0.5000, 0.4976) x2  3 O 1.79-1.80
O (0.2310, 0.0000, 0.1934) x2  1 Mo 1.78
O (0.2334, 0.5000, 0.6889) x2  1 W 1.80
O (0.4794, 0.2499, 0.1896) x4  1 Mo 1.77
O (0.4821, 0.2526, 0.6939) x4  1 W 1.79

Results
Crystal system: monoclinic
N(E_F) (states/eV/atom): 0.000


Stability, lowest: <P>


<P>
DFT (PBEsol) results for a relaxed NiMo2Rh crystal.

Cell lengths 3.2180, 3.2180, 5.3421 Å; angles 90.00, 90.00, 90.00 degrees
Closest atoms and distances in Å follow each position.
Space group P4/mmm (No. 123)
Symmetry-distinct sites (fractional):
Ni (0.0000, 0.0000, 0.0000) x1  8 Mo 2.57, 2 Rh 2.67
Mo (0.5000, 0.5000, 0.2245) x2  1 Mo 2.40, 4 Ni 2.57
Rh (0.0000, 0.0000, 0.5000) x1  2 Ni 2.67, 8 Mo 2.71

Results
Crystal system: tetragonal
N(E_F) (states/eV/atom): 0.952


<Q>
DFT (PBEsol) results for a relaxed NiMo2Rh crystal.

Cell lengths 3.7291, 3.7291, 7.7809 Å; angles 90.00, 90.00, 90.00 degrees
Closest atoms and distances in Å follow each position.
Space group I4/mmm (No. 139)
Symmetry-distinct sites (fractional):
Ni (0.0000, 0.0000, 0.0000) x2  4 Rh 2.64, 8 Mo 2.69
Mo (0.0000, 0.5000, 0.2500) x4  4 Mo 2.64, 4 Ni 2.69, 4 Rh 2.69
Rh (0.0000, 0.0000, 0.5000) x2  4 Ni 2.64, 8 Mo 2.69

Results
Crystal system: tetragonal
N(E_F) (states/eV/atom): 0.831


Stability, lowest: <P>


<P>
DFT (PBEsol) results for a relaxed Ru2PtW crystal.

Cell lengths 2.7198, 3.8147, 5.5083 Å; angles 90.00, 90.00, 90.00 degrees
Closest atoms and distances in Å follow each position.
Space group Pmmm (No. 47)
Symmetry-distinct sites (fractional):
Ru (0.0000, 0.0000, 0.2476) x2  4 W 2.71, 4 Ru 2.72-2.78, 4 Pt 2.72
Pt (0.5000, 0.5000, 0.5000) x1  2 Pt 2.72, 8 Ru 2.72, 2 W 2.75
W (0.5000, 0.5000, 0.0000) x1  8 Ru 2.71, 2 W 2.72, 2 Pt 2.75

Results
Crystal system: orthorhombic
N(E_F) (states/eV/atom): 1.012


<Q>
DFT (PBEsol) results for a relaxed Ru2PtW crystal.

Cell lengths 2.7082, 3.8695, 5.4524 Å; angles 90.00, 90.00, 90.00 degrees
Closest atoms and distances in Å follow each position.
Space group Pmm2 (No. 25)
Symmetry-distinct sites (fractional):
Ru (0.0000, 0.0000, 0.0000) x1  1 W 2.55, 6 Ru 2.64-2.71, 4 Pt 2.78
Ru (0.5000, 0.5000, 0.2159) x1  6 Ru 2.64-2.71, 2 Pt 2.65-2.80, 4 W 2.73
Pt (0.5000, 0.5000, 0.7301) x1  6 Ru 2.65-2.80, 2 Pt 2.71, 4 W 2.76
W (0.0000, 0.0000, 0.4675) x1  5 Ru 2.55-2.73, 2 W 2.71, 4 Pt 2.76

Results
Crystal system: orthorhombic
N(E_F) (states/eV/atom): 0.848


Stability, lowest: <P>


<P>
DFT (PBEsol) results for a relaxed Co5W crystal.

Cell lengths 9.1507, 2.5607, 5.8761 Å; angles 90.00, 104.79, 90.00 degrees
Closest atoms and distances in Å follow each position.
Space group Cm (No. 8)
Symmetry-distinct sites (fractional):
Co (0.0000, 0.0000, 0.0000) x2  10 Co 2.39-2.58, 2 W 2.54
Co (0.0520, 0.0000, 0.6207) x2  10 Co 2.39-2.56, 2 W 2.56
Co (0.1566, 0.5000, 0.3470) x2  9 Co 2.43-2.58, 3 W 2.47-2.52
Co (0.2109, 0.5000, 0.9366) x2  10 Co 2.41-2.58, 2 W 2.55
Co (0.3305, 0.0000, 0.6795) x2  11 Co 2.44-2.56, 1 W 2.50
W (0.3793, 0.0000, 0.2791) x2  10 Co 2.47-2.56, 2 W 2.56

Results
Crystal system: monoclinic
N(E_F) (states/eV/atom): 1.124


<Q>
DFT (PBEsol) results for a relaxed Co5W crystal.

Cell lengths 4.3505, 4.3505, 3.9813 Å; angles 90.00, 90.00, 120.00 degrees
Closest atoms and distances in Å follow each position.
Space group P-62m (No. 189)
Symmetry-distinct sites (fractional):
Co (0.0000, 0.3518, 0.0000) x3  10 Co 2.44-2.65, 2 W 2.51
Co (0.3333, 0.6667, 0.5000) x2  9 Co 2.44-2.51, 3 W 2.51
W (0.0000, 0.0000, 0.5000) x1  12 Co 2.51

Results
Crystal system: hexagonal
N(E_F) (states/eV/atom): 0.895


Stability, lowest: <P>


<P>
DFT (PBEsol) results for a relaxed Tc2RuPt crystal.

Cell lengths 3.8023, 3.8023, 7.7083 Å; angles 90.00, 90.00, 90.00 degrees
Closest atoms and distances in Å follow each position.
Space group I4/mmm (No. 139)
Symmetry-distinct sites (fractional):
Tc (0.0000, 0.5000, 0.2500) x4  4 Tc 2.69, 4 Pt 2.71, 4 Ru 2.71
Ru (0.0000, 0.0000, 0.0000) x2  4 Pt 2.69, 8 Tc 2.71
Pt (0.0000, 0.0000, 0.5000) x2  4 Ru 2.69, 8 Tc 2.71

Results
Crystal system: tetragonal
N(E_F) (states/eV/atom): 1.241


<Q>
DFT (PBEsol) results for a relaxed Tc2RuPt crystal.

Cell lengths 2.6740, 2.6740, 7.8090 Å; angles 90.00, 90.00, 90.00 degrees
Closest atoms and distances in Å follow each position.
Space group P4/mmm (No. 123)
Symmetry-distinct sites (fractional):
Tc (0.0000, 0.0000, 0.2411) x2  4 Ru 2.67, 4 Tc 2.67, 4 Pt 2.77
Ru (0.5000, 0.5000, 0.0000) x1  8 Tc 2.67, 4 Ru 2.67
Pt (0.5000, 0.5000, 0.5000) x1  4 Pt 2.67, 8 Tc 2.77

Results
Crystal system: tetragonal
N(E_F) (states/eV/atom): 1.050


Stability, lowest: <Q>


<P>
DFT (PBEsol) results for a relaxed BeZnTc2 crystal.

Cell lengths 3.0553, 4.0990, 7.7844 Å; angles 90.00, 90.00, 90.00 degrees
Closest atoms and distances in Å follow each position.
Space group Imm2 (No. 44)
Symmetry-distinct sites (fractional):
Be (0.0000, 0.0000, 0.0000) x2  2 Zn 2.29, 6 Tc 2.40-2.56
Zn (0.0000, 0.5000, 0.2804) x2  2 Be 2.29
Tc (0.0000, 0.0000, 0.5099) x2  4 Be 2.56, 4 Zn 2.60-2.72, 4 Tc 2.61-2.71
Tc (0.0000, 0.5000, 0.7385) x2  2 Be 2.40, 4 Zn 2.58, 2 Tc 2.61

Results
Crystal system: orthorhombic
N(E_F) (states/eV/atom): 0.544


<Q>
DFT (PBEsol) results for a relaxed BeZnTc2 crystal.

Cell lengths 5.0900, 8.1196, 2.5581 Å; angles 90.00, 105.32, 90.00 degrees
Closest atoms and distances in Å follow each position.
Space group C2/m (No. 12)
Symmetry-distinct sites (fractional):
Be (0.0000, 0.0000, 0.0000) x2  2 Zn 2.54, 4 Tc 2.55, 2 Be 2.56
Zn (0.0000, 0.5000, 0.0000) x2  2 Be 2.54, 4 Tc 2.55, 2 Zn 2.56
Tc (0.2500, 0.2500, 0.5000) x4  4 Tc 2.54-2.56, 2 Be 2.55, 2 Zn 2.55

Results
Crystal system: monoclinic
N(E_F) (states/eV/atom): 0.674


Stability, lowest: <Q>


<P>
DFT (PBEsol) results for a relaxed IrRh2Br crystal.

Cell lengths 4.6558, 4.6558, 2.7612 Å; angles 90.00, 90.00, 90.00 degrees
Closest atoms and distances in Å follow each position.
Space group P4/mmm (No. 123)
Symmetry-distinct sites (fractional):
Ir (0.0000, 0.0000, 0.0000) x1  8 Rh 2.71, 2 Ir 2.76
Rh (0.0000, 0.5000, 0.5000) x2  4 Br 2.71, 4 Ir 2.71, 2 Rh 2.76
Br (0.5000, 0.5000, 0.0000) x1  8 Rh 2.71, 2 Br 2.76

Results
Crystal system: tetragonal
N(E_F) (states/eV/atom): 1.576


<Q>
DFT (PBEsol) results for a relaxed IrRh2Br crystal.

Cell lengths 6.2186, 6.2186, 6.2186 Å; angles 90.00, 90.00, 90.00 degrees
Closest atoms and distances in Å follow each position.
Space group Fm-3m (No. 225)
Symmetry-distinct sites (fractional):
Ir (0.0000, 0.0000, 0.0000) x4  8 Rh 2.69
Rh (0.2500, 0.2500, 0.2500) x8  4 Br 2.69, 4 Ir 2.69
Br (0.0000, 0.0000, 0.5000) x4  8 Rh 2.69

Results
Crystal system: cubic
N(E_F) (states/eV/atom): 1.583


Stability, lowest: <Q>


<P>
DFT (PBEsol) results for a relaxed MnMoIr2 crystal.

Cell lengths 2.6955, 3.7602, 5.3821 Å; angles 90.00, 90.00, 90.00 degrees
Closest atoms and distances in Å follow each position.
Space group Pmmm (No. 47)
Symmetry-distinct sites (fractional):
Mn (0.0000, 0.0000, 0.0000) x1  8 Ir 2.65, 2 Mo 2.69, 2 Mn 2.70
Mo (0.0000, 0.0000, 0.5000) x1  2 Mn 2.69, 2 Mo 2.70, 8 Ir 2.70
Ir (0.5000, 0.5000, 0.2412) x2  4 Ir 2.60-2.79, 4 Mn 2.65, 4 Mo 2.70

Results
Crystal system: orthorhombic
N(E_F) (states/eV/atom): 0.981


<Q>
DFT (PBEsol) results for a relaxed MnMoIr2 crystal.

Cell lengths 2.6830, 2.6830, 7.5058 Å; angles 90.00, 90.00, 90.00 degrees
Closest atoms and distances in Å follow each position.
Space group P4/mmm (No. 123)
Symmetry-distinct sites (fractional):
Mn (0.0000, 0.0000, 0.0000) x1  8 Ir 2.59, 4 Mn 2.68
Mo (0.0000, 0.0000, 0.5000) x1  4 Mo 2.68, 8 Ir 2.75
Ir (0.5000, 0.5000, 0.2354) x2  4 Mn 2.59, 4 Ir 2.68, 4 Mo 2.75

Results
Crystal system: tetragonal
N(E_F) (states/eV/atom): 0.989


Stability, lowest: <Q>


<P>
DFT (PBEsol) results for a relaxed MgAsPb2 crystal.

Cell lengths 6.3435, 11.0008, 3.3958 Å; angles 90.00, 121.07, 90.00 degrees
Closest atoms and distances in Å follow each position.
Space group C2/m (No. 12)
Symmetry-distinct sites (fractional):
Mg (0.0000, 0.0000, 0.0000) x2  4 As 3.17-3.24, 4 Pb 3.19, 2 Mg 3.40
As (0.0000, 0.5000, 0.0000) x2  4 Mg 3.17-3.24, 4 Pb 3.19, 2 As 3.40
Pb (0.2500, 0.2500, 0.5000) x4  6 Pb 3.17-3.40, 2 As 3.19, 2 Mg 3.19

Results
Crystal system: monoclinic
N(E_F) (states/eV/atom): 0.458


<Q>
DFT (PBEsol) results for a relaxed MgAsPb2 crystal.

Cell lengths 6.9729, 8.5264, 3.3357 Å; angles 90.00, 90.00, 90.00 degrees
Closest atoms and distances in Å follow each position.
Space group Cmmm (No. 65)
Symmetry-distinct sites (fractional):
Mg (0.0000, 0.0000, 0.0000) x2  8 Pb 3.22, 2 Mg 3.34, 2 As 3.49
As (0.0000, 0.5000, 0.0000) x2  8 Pb 3.22, 2 As 3.34, 2 Mg 3.49
Pb (0.2500, 0.2500, 0.5000) x4  4 As 3.22, 4 Mg 3.22, 4 Pb 3.34-3.49

Results
Crystal system: orthorhombic
N(E_F) (states/eV/atom): 0.462


Stability, lowest: <P>